a.
VASP calculation (PBEsol) on a relaxed Li4WO5 crystal.

```
10
Lattice="-0.240 4.018 -0.658 -3.899 1.358 -2.925 -2.782 2.466 3.432" Properties=species:S:1:pos:R:3 pbc="T T T"
O -4.811 3.939 0.754
O -2.518 2.143 1.588
O -4.399 5.628 -1.728
O -2.107 3.831 -0.893
O -0.119 1.990 -0.326
W -0.009 0.153 -0.025
Li -4.661 6.005 0.446
Li -2.611 4.145 0.984
Li -4.311 3.697 -1.135
Li -2.261 1.837 -0.597
```

***

b.
VASP calculation (PBEsol) on a relaxed Li4WO5 crystal.

```
20
Lattice="5.055 0.012 0.002 -0.997 4.980 -0.012 -1.565 -2.808 6.997" Properties=species:S:1:pos:R:3 pbc="T T T"
Li 2.521 0.837 2.728
Li 3.191 2.694 0.679
Li 1.599 -0.984 4.873
Li 2.528 0.006 0.001
Li -0.697 -0.511 6.308
Li 0.895 3.167 2.114
Li -0.028 1.346 4.259
Li -0.782 -1.404 3.499
W 2.502 1.704 5.464
W -0.009 0.479 1.523
O -0.841 1.902 2.350
O 3.527 -0.641 1.742
O -1.033 2.825 5.245
O 1.532 1.515 1.076
O 3.334 0.281 4.637
O -0.220 3.985 0.284
O 0.834 -0.262 3.008
O 2.714 -1.801 6.702
O 0.962 0.668 5.911
O 1.659 2.445 3.979
```

***

b ends up most stable, edging out the next structure by 0.030 eV/atom.

***

a.
VASP calculation (PBEsol) on a relaxed Li8ZrO6 crystal.

```
30
Lattice="5.647 0.000 0.000 -2.824 4.891 0.000 0.000 0.000 10.744" Properties=species:S:1:pos:R:3 pbc="T T T"
Li 1.792 0.000 7.857
Li 2.355 0.000 4.017
Li 3.292 0.000 9.390
Li 3.855 0.000 2.485
Li 0.000 3.261 1.024
Li 0.000 3.261 6.396
Li 1.928 3.339 7.857
Li 1.646 2.851 4.017
Li 1.178 2.040 9.390
Li -1.928 3.339 2.485
Li 0.896 1.552 2.485
Li -1.646 2.851 9.390
Li 2.824 1.630 6.396
Li 2.824 1.630 1.024
Li -1.178 2.040 4.017
Li -0.896 1.552 7.857
Zr 0.000 0.000 5.410
Zr 0.000 0.000 0.037
O 1.885 0.000 5.920
O 3.763 0.000 0.548
O 0.000 3.261 3.080
O 0.000 0.000 3.420
O 0.000 0.000 8.792
O 0.000 3.261 8.453
O 1.881 3.258 5.920
O -1.881 3.258 0.548
O 0.942 1.632 0.548
O 2.824 1.630 8.453
O 2.824 1.630 3.080
O -0.942 1.632 5.920
```

***

b.
VASP calculation (PBEsol) on a relaxed Li8ZrO6 crystal.

```
15
Lattice="5.451 0.000 0.000 2.726 4.721 0.000 2.726 1.574 5.133" Properties=species:S:1:pos:R:3 pbc="T T T"
O 4.426 1.625 3.880
O 6.257 1.498 1.253
O 3.620 3.274 1.253
O 7.283 3.020 3.880
O 4.646 4.797 3.880
O 6.477 4.670 1.253
Zr 0.000 0.000 0.000
Li 4.386 1.677 1.873
Li 6.192 1.489 3.260
Li 3.645 3.335 3.260
Li 5.451 3.147 0.166
Li 5.451 3.147 4.967
Li 7.258 2.960 1.873
Li 4.711 4.806 1.873
Li 6.517 4.618 3.260
```

***

b ends up most stable, edging out the next structure by 0.076 eV/atom.

***

a.
VASP calculation (PBEsol) on a relaxed Li4Zr3O8 crystal.

```
15
Lattice="5.398 -0.017 0.000 -2.000 5.014 0.000 0.000 0.000 6.114" Properties=species:S:1:pos:R:3 pbc="T T T"
Li 2.699 -0.008 4.614
Li -1.000 2.507 1.500
Li 0.000 0.000 3.057
Li 1.699 2.498 0.000
Zr 0.000 0.000 0.000
Zr -1.000 2.507 4.426
Zr 2.699 -0.008 1.688
O 2.405 3.908 1.418
O 0.648 1.324 4.696
O 3.674 1.155 3.057
O -0.222 3.805 0.000
O 3.620 1.192 0.000
O -0.276 3.842 3.057
O 2.750 3.673 4.696
O 0.994 1.089 1.418
```

***

b.
VASP calculation (PBEsol) on a relaxed Li4Zr3O8 crystal.

```
30
Lattice="5.336 0.000 -0.089 0.000 6.133 0.000 -1.849 0.000 9.829" Properties=species:S:1:pos:R:3 pbc="T T T"
Li 0.487 2.275 4.875
Li 3.000 3.859 4.865
Li 3.924 2.275 -0.049
Li -0.437 3.859 9.789
Li 2.206 5.127 2.413
Li -0.462 0.708 2.457
Li -1.387 5.425 7.372
Li 1.281 1.007 7.327
Zr 0.461 5.284 5.129
Zr -0.462 3.678 2.457
Zr 3.027 0.850 4.611
Zr -1.387 2.455 7.372
Zr 2.102 5.284 9.525
Zr 1.385 0.850 0.215
O 0.328 2.282 1.234
O 4.084 2.282 3.591
O 4.025 5.336 3.639
O -0.538 0.798 6.100
O 2.246 5.524 5.967
O 1.141 3.925 3.749
O 0.387 5.336 1.186
O 1.241 0.609 3.773
O 3.271 3.925 1.076
O 0.216 2.208 8.664
O 2.347 2.208 5.990
O 3.101 0.798 8.554
O -0.597 3.852 6.148
O 0.316 5.524 8.687
O 3.159 3.852 8.506
O 3.171 0.609 1.052
```

***

b ends up most stable, edging out the next structure by 0.025 eV/atom.